LiBeGa2Pd4: relaxed, PBE-GGA.

The structure belongs to space group P4/mmm (No. 123); the cell edges are 4.232, 4.232 and 6.092 Å and the angles 90.00°, 90.00° and 90.00°. The distinct sites, in fractional coordinates, are Li at (0.000, 0.000, 0.000), Be at (0.500, 0.500, 0.500), Ga at (0.000, 0.000, 0.500), Ga at (0.500, 0.500, 0.000) and Pd at (0.000, 0.500, 0.260).

The value obtained for the calculated total energy is -37.5 eV/cell.